No. 1
Dy6As2Se3S: relaxed, PBE.

abc: 4.0543 8.1556 9.1247
angles: 103.58 102.84 90.00
Fractional positions:
1 As 0.1660 0.3318 0.3319
2 Dy 0.3308 0.4238 0.6617
3 Se 0.1679 0.8337 0.3358
4 Dy 0.3400 0.9136 0.6801
5 Se 0.5000 0.5000 0.0000
6 Dy 0.6600 0.0864 0.3199
7 As 0.8340 0.6682 0.6681
8 Dy 0.9980 0.7664 0.9959
9 Dy 0.6692 0.5762 0.3383
10 Dy 0.0020 0.2336 0.0041
11 S 0.5000 0.0000 0.0000
12 Se 0.8321 0.1663 0.6642

Computed properties:
Magnetic moment = 0.0 Bohr magnetons per cell
SG = C2/m, No. 12
Uncorrected formation energy = -170 kJ per mole of atoms
DOS(E_F) = 4.4 states/eV/f.u.
Final energy = -6.06 eV/atom

***

No. 2
CrInCl2: relaxed, PBE.

abc: 6.0884 6.0884 6.0483
angles: 60.28 60.28 32.72
Each line ends with the local moment (μB).
Fractional positions:
1 In 0.7500 0.7500 0.7500  0.01
2 Cr 0.2500 0.2500 0.2500  3.63
3 Cl 0.9181 0.9181 0.0814  -0.01
4 Cl 0.5819 0.5819 0.4186  -0.01

Computed properties:
Magnetic moment = 4.1 Bohr magnetons per cell
SG = Immm, No. 71
Uncorrected formation energy = -51 kJ per mole of atoms
DOS(E_F) = 2.2 states/eV/f.u.
Final energy = -4.55 eV/atom

***

No. 3
Cs3Sr2Br4Cl3: relaxed, PBE.

abc: 6.0474 5.7101 15.4616
angles: 100.64 101.28 90.00
Fractional positions:
1 Cs 0.6804 0.6814 0.3629
2 Cs 0.5769 0.5000 0.0000
3 Cl 0.0799 0.5966 0.1932
4 Br 0.5916 0.0928 0.1856
5 Sr 0.9039 0.9031 0.8063
6 Cl 0.9777 0.0000 0.0000
7 Br 0.8064 0.8016 0.6033
8 Cl 0.8867 0.4034 0.8068
9 Br 0.2032 0.1984 0.3967
10 Br 0.4060 0.9072 0.8144
11 Cs 0.3175 0.3186 0.6371
12 Sr 0.0976 0.0969 0.1937

Computed properties:
Magnetic moment = 0.2 Bohr magnetons per cell
SG = Imm2, No. 44
Uncorrected formation energy = -202 kJ per mole of atoms
DOS(E_F) = 0.0 states/eV/f.u.
Final energy = -3.60 eV/atom

***

No. 4
La3BiIr: relaxed, PBE.

abc: 5.5323 5.5323 11.2925
angles: 90.00 90.00 120.00
Fractional positions:
1 La 0.3333 0.6667 0.4524
2 La 0.0000 0.0000 0.7500
3 La 0.0000 0.0000 0.2500
4 Ir 0.0000 0.0000 0.0000
5 Bi 0.6667 0.3333 0.2500
6 La 0.6667 0.3333 0.5476
7 Ir 0.0000 0.0000 0.5000
8 La 0.3333 0.6667 0.0476
9 Bi 0.3333 0.6667 0.7500
10 La 0.6667 0.3333 0.9524

Computed properties:
Magnetic moment = 0.0 Bohr magnetons per cell
SG = P6_3/mmc, No. 194
DOS(E_F) = 4.6 states/eV/f.u.
Formation energy = -3.2 eV per formula unit
Final energy = -6.15 eV/atom

***

No. 5
Co2NiMo: relaxed, PBE.

abc: 4.4140 4.4140 2.5987
angles: 90.00 90.00 108.30
Each line ends with the local moment (μB).
Fractional positions:
1 Co 0.5000 0.5000 0.0000  0.77
2 Ni 0.0000 0.5000 0.5000  0.44
3 Mo 0.5000 0.0000 0.5000  -0.09
4 Co 0.0000 0.0000 0.0000  0.77

Computed properties:
Magnetic moment = 1.8 Bohr magnetons per cell
SG = Cmmm, No. 65
DOS(E_F) = 5.0 states/eV/f.u.
Formation energy = 0.5 eV per formula unit
Final energy = -7.57 eV/atom

***

No. 6
Pr6Pt2I3Cl: relaxed, PBE.

abc: 7.6228 7.6228 8.2522
angles: 98.81 98.81 119.88
Fractional positions:
1 Pt 0.3327 0.6673 0.0000
2 Pr 0.7027 0.7027 0.1909
3 Pr 0.9349 0.5738 0.8064
4 Pr 0.5738 0.9349 0.8064
5 I 0.1604 0.8396 0.5000
6 Pt 0.6673 0.3327 0.0000
7 Cl 0.0000 0.0000 0.0000
8 I 0.5000 0.5000 0.5000
9 Pr 0.0651 0.4262 0.1936
10 I 0.8396 0.1604 0.5000
11 Pr 0.2973 0.2973 0.8091
12 Pr 0.4262 0.0651 0.1936

Computed properties:
Magnetic moment = 0.0 Bohr magnetons per cell
SG = C2/m, No. 12
Uncorrected formation energy = -109 kJ per mole of atoms
DOS(E_F) = 7.2 states/eV/f.u.
Final energy = -5.06 eV/atom

***

No. 7
DyErZnNi: relaxed, PBE.

abc: 3.4474 3.4474 6.9380
angles: 90.00 90.00 90.00
Fractional positions:
1 Ni 0.5000 0.5000 0.6024
2 Er 0.0000 0.0000 0.3731
3 Dy 0.0000 0.0000 0.8413
4 Zn 0.5000 0.5000 0.1112

Computed properties:
Magnetic moment = 0.0 Bohr magnetons per cell
SG = P4mm, No. 99
DOS(E_F) = 3.3 states/eV/f.u.
Formation energy = -1.6 eV per formula unit
Final energy = -4.44 eV/atom

***

No. 8
KBaGe2Sb: relaxed, PBE.

abc: 5.9934 6.3794 5.9934
angles: 90.00 90.00 90.00
Fractional positions:
1 K 0.5000 0.5000 0.5000
2 Ge 0.0000 0.0000 0.5000
3 Ge 0.5000 0.0000 0.0000
4 Ba 0.0000 0.0000 0.0000
5 Sb 0.0000 0.5000 0.0000

Computed properties:
Magnetic moment = 0.0 Bohr magnetons per cell
SG = P4/mmm, No. 123
Uncorrected formation energy = 60 kJ per mole of atoms
DOS(E_F) = 4.5 states/eV/f.u.
Final energy = -2.65 eV/atom